No. 1
Entry from Alexandria via LeMat-Bulk: a relaxed TiV2H crystal (GGA-PBE).

Properties
The magnetic moment is 0.00 μB per cell. The space-group type is Pmmn, No. 59. The crystal system is orthorhombic. The excess energy over the best structure of this formula in the dataset comes out at 0.071 eV per atom.

```
TiV2H
1.0
4.181 0.000 0.000
0.000 7.985 0.000
0.000 0.000 2.742
Ti V H
2 4 2
direct
0.250 0.250 0.017
0.750 0.750 0.983
0.250 0.571 0.372
0.250 0.929 0.372
0.750 0.071 0.628
0.750 0.429 0.628
0.250 0.750 0.895
0.750 0.250 0.105
```



No. 2
Entry from Alexandria via LeMat-Bulk: a relaxed KNaScF6 crystal (GGA-PBE).

Properties
The magnetic moment is 1.06 μB per cell. The space-group type is P1, No. 1. The crystal system is triclinic. The value obtained for the uncorrected formation energy is -2.965 eV per atom.

```
KNaScF6
1.0
5.176 0.000 0.000
0.007 5.973 0.000
0.004 2.986 5.183
K Na Sc F
1 1 1 6
direct
0.000 0.000 0.000
0.500 0.334 0.333
0.497 0.666 0.667
0.283 0.394 0.963
0.285 0.646 0.392
0.286 0.964 0.646
0.708 0.387 0.650
0.709 0.961 0.390
0.711 0.648 0.962
```



No. 3
Entry from Alexandria via LeMat-Bulk: a relaxed La2MoHRh crystal (GGA-PBE).

Properties
The magnetic moment is 0.00 μB per cell. The space-group type is P4/mmm, No. 123. The crystal system is tetragonal.

```
La2MoHRh
1.0
5.558 0.000 0.000
0.000 5.558 0.000
0.000 0.000 4.609
La Mo H Rh
2 1 1 1
direct
0.000 0.500 0.000
0.500 0.000 0.000
0.000 0.000 0.000
0.500 0.500 0.500
0.000 0.000 0.500
```



No. 4
Entry from Alexandria via LeMat-Bulk: a relaxed Ta2TcBr crystal (GGA-PBE).

Properties
The magnetic moment is 0.00 μB per cell. The space-group type is Pmmm, No. 47. The crystal system is orthorhombic. The excess energy over the best structure of this formula in the dataset comes out at 0.000 eV per atom. The value obtained for the uncorrected formation energy is 0.063 eV per atom.

```
Ta2TcBr
1.0
3.126 0.000 0.000
0.000 3.160 0.000
0.000 0.000 7.777
Ta Tc Br
2 1 1
direct
0.000 0.000 0.201
0.000 0.000 0.799
0.500 0.500 0.000
0.500 0.000 0.500
```



No. 5
Entry from Alexandria via LeMat-Bulk: a relaxed Li2Ni2Ir crystal (GGA-PBE).

Properties
The magnetic moment is 0.00 μB per cell. The space-group type is I4/mmm, No. 139. The crystal system is tetragonal. The excess energy over the best structure of this formula in the dataset comes out at 0.282 eV per atom. Its formation energy is 343.2 meV per atom.

```
Li2Ni2Ir
1.0
-1.605 1.605 6.146
1.605 -1.605 6.146
1.605 1.605 -6.146
Li Ni Ir
2 2 1
direct
0.250 0.750 0.500
0.750 0.250 0.500
0.095 0.095 0.000
0.905 0.905 0.000
0.500 0.500 0.000
```



No. 6
Entry from Alexandria via LeMat-Bulk: a relaxed NdScSn2 crystal (GGA-PBE).

Properties
The magnetic moment is 0.00 μB per cell. The space-group type is R-3m, No. 166. The crystal system is trigonal. Its formation energy is -596.7 meV per atom.

```
NdScSn2
1.0
2.432 1.404 5.358
-2.432 1.404 5.358
0.000 -2.809 5.358
Nd Sc Sn
1 1 2
direct
0.000 0.000 0.000
0.500 0.500 0.500
0.236 0.236 0.236
0.764 0.764 0.764
```



Calculated uncorrected energy, -7.44, -5.18, -5.71, -8.87, -4.51, -5.37 eV/atom (same order as the records).